Below is a crystal of LiCdAu2 relaxed with PBEsol, with properties calculated at the meta-GGA SCAN level.

Geometry as CIF:
```
data_LiCdAu2
_chemical_formula_sum 'Li1 Cd1 Au2'
_symmetry_space_group_name_H-M 'P 1'
_symmetry_Int_Tables_number 1
_symmetry_space_group_name_Hall 'P 1'
_cell_length_a 2.918
_cell_length_b 4.699
_cell_length_c 4.920
_cell_angle_alpha 90.00
_cell_angle_beta 90.01
_cell_angle_gamma 90.00
loop_
_atom_site_label
_atom_site_fract_x
_atom_site_fract_y
_atom_site_fract_z
Li1 0.375 0.500 0.813
Cd1 0.375 0.000 0.450
Au1 0.875 0.000 0.941
Au2 0.875 0.500 0.295
```

The formation energy is -0.44 eV per atom. The symmetry is No. 25. The calculation puts the energy at -172.87 eV/cell.